Material: Ca2ReAg
Method: DFT, PBE-GGA
State: relaxed

Values from the calculation:
V, Å³/cell: 90.7
Energy above the most stable polymorph in this dataset, meV per atom: 234
Total magnetization, Bohr magnetons per cell: 0.0
ΔE_f, eV per formula unit: 2.75
Space-group type: C2/m, No. 12

Lattice parameters (Å, degrees): 4.897 4.897 6.810 85.28 85.28 33.85
Fractional coordinates of all 4 atoms:
Re 0.250 0.250 0.250
Ca 0.995 0.995 0.016
Ca 0.505 0.505 0.484
Ag 0.750 0.750 0.750